1.
A plane-wave DFT calculation with PBE-GGA was carried out for a relaxed structure of In2AuI8.

## Properties
energy relative to the elements, uncorrected = -345 meV/atom
magnetization = 0.90 Bohr magnetons per cell
symmetry = No. 12
density = 4.154 g/cm3

Cell lengths 8.2138, 8.7923, 8.7923 Å; angles 65.99, 84.60, 84.60 degrees
With the nearest neighbours (Å) after each atom.
Positions (direct):
In  0.6672  0.2198  0.2198  4 I 2.69-2.85
In  0.3328  0.7802  0.7802  4 I 2.69-2.85
Au  0.0000  0.0000  0.0000  4 I 2.79
I  0.1491  0.0930  0.6790  1 Au 2.79, 1 In 2.85
I  0.1491  0.6790  0.0930  1 Au 2.79, 1 In 2.85
I  0.8509  0.9070  0.3210  1 Au 2.79, 1 In 2.85
I  0.2786  0.6036  0.6036  1 In 2.69
I  0.8509  0.3210  0.9070  1 Au 2.79, 1 In 2.85
I  0.3478  0.1879  0.1879  1 In 2.72
I  0.6522  0.8121  0.8121  1 In 2.72
I  0.7214  0.3964  0.3964  1 In 2.69

2.
A plane-wave DFT calculation with PBE-GGA was carried out for a relaxed structure of HgAsW.

## Properties
E above lowest polymorph = 197 meV/atom
energy of formation = 181 kJ/mol of formula units
magnetization = 0.00 Bohr magnetons per cell
symmetry = No. 187
density = 13.166 g/cm3

Cell lengths 4.2877, 4.2877, 3.6387 Å; angles 90.00, 90.00, 120.00 degrees
With the nearest neighbours (Å) after each atom.
Positions (direct):
As  0.0000  0.0000  0.8333  3 W 2.48
Hg  0.6667  0.3333  0.3333  6 As 3.07, 6 W 3.07
W  0.3333  0.6667  0.8332  3 As 2.48